No. 1
Density functional theory data (PBE) for crystalline ZrTiGa2 at its relaxed geometry.

The structure belongs to space group P4/mmm (No. 123); the cell edges are 2.964, 2.964 and 7.905 Å and the angles 90.00°, 90.00° and 90.00°. The inequivalent atoms are Zr at (0.000, 0.000, 0.000), Ti at (0.000, 0.000, 0.500) and Ga at (0.500, 0.500, 0.264).

Its distance to the lowest polymorph of the same formula is 16 meV per atom. The magnetization is 0.0000 μB/atom.



No. 2
Density functional theory data (PBE) for crystalline ZrTi3Ga3 at its relaxed geometry.

The structure belongs to space group R-3 (No. 148, hexagonal axes); the cell edges are 7.7301, 7.7301 and 14.0534 Å and the angles 90.00°, 90.00° and 120.00°. The inequivalent atoms are Zr at (0.0000, 0.0000, 0.2382), Ti at (0.0223, 0.2308, 0.4158) and Ga at (0.0415, 0.2498, 0.9183).

The calculation puts the total energy at -262.3 eV for the cell shown. The magnetization is 0.0000 μB/atom.



No. 3
Density functional theory data (PBE) for crystalline Zr4TiGa3 at its relaxed geometry.

The structure belongs to space group Pmm2 (No. 25); the cell edges are 3.720, 4.029 and 10.564 Å and the angles 90.00°, 90.00° and 90.00°. The inequivalent atoms are Zr at (0.000, 0.000, 0.000), Zr at (0.000, 0.500, 0.298), Zr at (0.500, 0.000, 0.494), Zr at (0.500, 0.500, 0.801), Ti at (0.000, 0.000, 0.721), Ga at (0.000, 0.500, 0.567), Ga at (0.500, 0.000, 0.227) and Ga at (0.500, 0.500, 0.075).

The calculation puts the total energy at -54.5 eV for the cell shown. The magnetization is 0.0000 μB/atom.



No. 4
Density functional theory data (PBE) for crystalline ZrTi7Ga5 at its relaxed geometry.

The structure belongs to space group Imm2 (No. 44); the cell edges are 5.237, 9.211 and 9.142 Å and the angles 90.00°, 90.00° and 90.00°. The inequivalent atoms are Zr at (0.000, 0.000, 0.000), Ti at (0.000, 0.000, 0.357), Ti at (0.000, 0.000, 0.639), Ti at (0.000, 0.304, 0.491), Ti at (0.000, 0.351, 0.993), Ti at (0.000, 0.500, 0.718), Ga at (0.000, 0.500, 0.259) and Ga at (0.249, 0.254, 0.742).

The calculation puts the total energy at -166.0 eV for the cell shown. The magnetization is 0.0860 μB/atom.



Q: Which value of magnetization does entry 2 give?
A: 0.0000 μB/atom



Q: Number 4 is which compound?
A: ZrTi7Ga5